## CaBIr2 (PBE)

Data for an optimized crystal structure of CaBIr2.

a b c (Å): 4.874 4.874 13.857
angles (deg): 90.00 90.00 90.00
Space group I4_1/amd (No. 141, origin choice 2)
Asymmetric unit:
Ca 0.000 0.250 0.375 [4 per cell]
B 0.000 0.250 0.875 [4 per cell]
Ir 0.000 0.000 0.000 [8 per cell]

- Volume: 20.57 Å³/atom
- ΔE_f: -0.021 eV/atom
- DOS(E_F): 5.85 states/eV/cell
- Uncorrected energy: -6.621 eV/atom
- Total magnetic moment: 0.0 μB/f.u.